Below is a relaxed structure of CaTbEr2, with properties calculated at the PBE level.

## Properties
Calculated volume in Å³ per atom: 33.40
DFT total energy in eV per atom: -3.860
Excess energy over the best structure of this formula in the dataset in eV per formula unit: 0.05

Lattice parameters (Å, degrees): 3.5990 3.5990 10.3148 90.00 90.00 90.00
With the nearest neighbours (Å) after each atom.
Space group P4/mmm (No. 123)
Asymmetric unit:
Ca (0.0000, 0.0000, 0.0000) (multiplicity 1)  4 Ca 3.60, 8 Er 3.77
Tb (0.0000, 0.0000, 0.5000) (multiplicity 1)  8 Er 3.48, 4 Tb 3.60
Er (0.5000, 0.5000, 0.2700) (multiplicity 2)  4 Tb 3.48, 4 Er 3.60, 4 Ca 3.77

---

Below is a relaxed structure of CaTb7Er2, with properties calculated at the PBE level.

## Properties
Calculated volume in Å³ per atom: 32.25
DFT total energy in eV per atom: -4.301

Lattice parameters (Å, degrees): 6.1726 6.1880 9.4663 70.92 71.12 80.30
With the nearest neighbours (Å) after each atom.
Space group P-1 (No. 2)
Asymmetric unit:
Ca (0.0000, 0.0000, 0.0000) (multiplicity 1)  10 Tb 3.58-3.63, 2 Er 3.62
Tb (0.2038, 0.0001, 0.5943) (multiplicity 2)  8 Tb 3.48-3.60, 3 Er 3.50-3.63, 1 Ca 3.63
Tb (0.3118, 0.4988, 0.8966) (multiplicity 2)  7 Tb 3.49-3.71, 3 Er 3.51-3.63, 2 Ca 3.60-3.61
Tb (0.3948, 0.0000, 0.2059) (multiplicity 2)  8 Tb 3.48-3.69, 2 Er 3.51-3.61, 2 Ca 3.58-3.61
Tb (0.5000, 0.5000, 0.5000) (multiplicity 1)  8 Tb 3.54-3.57, 4 Er 3.55-3.57
Er (0.0998, 0.4919, 0.3036) (multiplicity 2)  10 Tb 3.50-3.63, 1 Er 3.55, 1 Ca 3.62

---

Below is a relaxed structure of CaTbEr2, with properties calculated at the PBE level.

## Properties
Calculated volume in Å³ per atom: 32.99
DFT total energy in eV per atom: -3.751
Excess energy over the best structure of this formula in the dataset in eV per formula unit: 0.48

Lattice parameters (Å, degrees): 8.0815 8.0815 8.0815 90.00 90.00 90.00
With the nearest neighbours (Å) after each atom.
Space group Fm-3m (No. 225)
Asymmetric unit:
Ca (0.0000, 0.0000, 0.0000) (multiplicity 4)  8 Er 3.50
Tb (0.0000, 0.0000, 0.5000) (multiplicity 4)  8 Er 3.50
Er (0.2500, 0.2500, 0.2500) (multiplicity 8)  4 Tb 3.50, 4 Ca 3.50

---

Below is a relaxed structure of Ca2TbEr, with properties calculated at the PBE level.

## Properties
Calculated volume in Å³ per atom: 35.10
DFT total energy in eV per atom: -3.104
Excess energy over the best structure of this formula in the dataset in eV per formula unit: 0.03

Lattice parameters (Å, degrees): 4.1225 4.1225 8.2600 90.00 90.00 90.00
With the nearest neighbours (Å) after each atom.
Space group P4/mmm (No. 123)
Asymmetric unit:
Ca (0.0000, 0.0000, 0.2477) (multiplicity 2)  4 Er 3.56, 4 Tb 3.58
Tb (0.5000, 0.5000, 0.5000) (multiplicity 1)  8 Ca 3.58
Er (0.5000, 0.5000, 0.0000) (multiplicity 1)  8 Ca 3.56

---

Below is a relaxed structure of CaTb6Er5, with properties calculated at the PBE level.

## Properties
Calculated volume in Å³ per atom: 31.84
DFT total energy in eV per atom: -4.337

Lattice parameters (Å, degrees): 11.7762 10.6953 6.1627 90.00 100.06 90.00
With the nearest neighbours (Å) after each atom.
Space group C2/m (No. 12)
Asymmetric unit:
Ca (0.0000, 0.0000, 0.0000) (multiplicity 2)  6 Er 3.59-3.63, 6 Tb 3.61-3.62
Tb (0.2454, 0.3298, 0.7479) (multiplicity 8)  5 Er 3.46-3.61, 6 Tb 3.52-3.64, 1 Ca 3.62
Tb (0.2480, 0.5000, 0.2607) (multiplicity 4)  5 Er 3.49-3.58, 6 Tb 3.52-3.64, 1 Ca 3.61
Er (0.0000, 0.1718, 0.5000) (multiplicity 4)  6 Tb 3.46-3.59, 4 Er 3.51-3.68, 2 Ca 3.59
Er (0.0000, 0.3392, 0.0000) (multiplicity 4)  5 Er 3.44-3.56, 6 Tb 3.51-3.61, 1 Ca 3.63
Er (0.0000, 0.5000, 0.5000) (multiplicity 2)  6 Tb 3.49-3.53, 6 Er 3.51-3.53

---

Below is a relaxed structure of CaTbEr2, with properties calculated at the PBE level.

## Properties
Calculated volume in Å³ per atom: 33.03
DFT total energy in eV per atom: -3.871
Excess energy over the best structure of this formula in the dataset in eV per formula unit: 0.00

Lattice parameters (Å, degrees): 3.5718 3.5718 35.8784 90.00 90.00 120.00
With the nearest neighbours (Å) after each atom.
Space group R3m (No. 160, hexagonal axes)
Asymmetric unit:
Ca (0.0000, 0.0000, 0.0000) (multiplicity 3)  6 Ca 3.57, 6 Er 3.76-3.79
Tb (0.0000, 0.0000, 0.8343) (multiplicity 3)  6 Er 3.48-3.50, 6 Tb 3.57
Er (0.0000, 0.0000, 0.2458) (multiplicity 3)  3 Tb 3.48, 6 Er 3.57, 3 Ca 3.76
Er (0.0000, 0.0000, 0.4221) (multiplicity 3)  3 Tb 3.50, 6 Er 3.57, 3 Ca 3.79

---

N(E_F) list, top to bottom, in states/eV/cell: 5.8, 14.3, 34.0, 6.7, 31.1, 16.7